[1]
First-principles (PBE-GGA) data for a relaxed Th4Ni2Hg5 crystal, as listed in Alexandria.

a b c (Å): 3.762 7.787 9.490
angles (deg): 94.03 90.00 90.00
Atoms (fractional coordinates):
Th1 0.500 0.216 0.433
Th2 0.500 0.813 0.155
Th3 0.500 0.187 0.845
Th4 0.500 0.784 0.567
Hg1 0.000 0.500 0.000
Hg2 0.000 0.451 0.666
Hg3 0.000 0.155 0.139
Hg4 0.000 0.549 0.334
Hg5 0.000 0.845 0.861
Ni1 0.000 0.929 0.370
Ni2 0.000 0.071 0.630

Electronic total energy, eV per atom: -4.205
Spin magnetization, μB/f.u.: 0.00
SG: P2/m, No. 10
Crystal system: monoclinic



[2]
First-principles (PBE-GGA) data for a relaxed Th6NiHg2 crystal, as listed in Alexandria.

a b c (Å): 6.350 8.089 10.239
angles (deg): 90.00 91.04 90.00
Atoms (fractional coordinates):
Th1 0.385 0.812 0.457
Th2 0.365 0.524 0.745
Th3 0.123 0.330 0.455
Th4 0.135 0.024 0.755
Th5 0.615 0.188 0.543
Th6 0.635 0.476 0.255
Th7 0.623 0.170 0.955
Th8 0.115 0.312 0.043
Th9 0.865 0.976 0.245
Th10 0.885 0.688 0.957
Th11 0.877 0.670 0.545
Th12 0.377 0.830 0.045
Hg1 0.608 0.881 0.746
Hg2 0.892 0.381 0.754
Hg3 0.108 0.619 0.246
Hg4 0.392 0.119 0.254
Ni1 0.000 0.000 0.500
Ni2 0.500 0.500 0.000

Electronic total energy, eV per atom: -5.737
Spin magnetization, μB/f.u.: 0.00
SG: P2_1/c, No. 14
Crystal system: monoclinic



[3]
First-principles (PBE-GGA) data for a relaxed Th2NiHg crystal, as listed in Alexandria.

a b c (Å): 3.430 3.430 8.329
angles (deg): 90.00 90.00 90.00
Atoms (fractional coordinates):
Hg1 0.500 0.500 0.500
Ni1 0.500 0.500 0.000
Th1 0.000 0.000 0.788
Th2 0.000 0.000 0.212

Electronic total energy, eV per atom: -5.479
Spin magnetization, μB/f.u.: 0.00
SG: P4/mmm, No. 123
Crystal system: tetragonal
Offset from the most stable computed form, meV/atom: 0



[4]
First-principles (PBE-GGA) data for a relaxed Th5Ni2Hg crystal, as listed in Alexandria.

a b c (Å): 7.609 7.609 8.930
angles (deg): 115.22 115.22 90.00
Atoms (fractional coordinates):
Th1 0.201 0.013 0.714
Th2 0.513 0.701 0.714
Th3 0.013 0.513 0.714
Th4 0.299 0.799 0.286
Th5 0.500 0.500 0.000
Th6 0.799 0.987 0.286
Th7 0.000 0.000 0.000
Th8 0.987 0.487 0.286
Th9 0.701 0.201 0.714
Th10 0.487 0.299 0.286
Ni1 0.627 0.127 0.000
Ni2 0.127 0.373 0.000
Ni3 0.873 0.627 0.000
Ni4 0.373 0.873 0.000
Hg1 0.750 0.750 0.500
Hg2 0.250 0.250 0.500

Electronic total energy, eV per atom: -6.332
Spin magnetization, μB/f.u.: 0.00
SG: I4/mcm, No. 140
Crystal system: tetragonal



[5]
First-principles (PBE-GGA) data for a relaxed Th6Ni6Hg crystal, as listed in Alexandria.

a b c (Å): 5.663 7.552 7.552
angles (deg): 82.05 67.98 67.98
Atoms (fractional coordinates):
Ni1 0.500 0.247 0.753
Ni2 0.000 0.000 0.500
Ni3 0.000 0.500 0.000
Ni4 0.500 0.753 0.247
Ni5 0.500 0.500 0.000
Ni6 0.500 0.000 0.500
Th1 0.669 0.831 0.831
Th2 0.662 0.338 0.338
Th3 0.338 0.662 0.662
Th4 0.000 0.313 0.687
Th5 0.000 0.687 0.313
Th6 0.331 0.169 0.169
Hg1 0.000 0.000 0.000

Electronic total energy, eV per atom: -6.356
Spin magnetization, μB/f.u.: 0.00
SG: Immm, No. 71
Crystal system: orthorhombic



[6]
First-principles (PBE-GGA) data for a relaxed Th3NiHg crystal, as listed in Alexandria.

a b c (Å): 4.458 8.221 8.241
angles (deg): 116.57 90.00 90.00
Atoms (fractional coordinates):
Th1 0.250 0.679 0.063
Th2 0.750 0.321 0.937
Th3 0.750 0.051 0.221
Th4 0.250 0.949 0.779
Th5 0.750 0.679 0.399
Th6 0.250 0.321 0.601
Hg1 0.250 0.343 0.221
Hg2 0.750 0.657 0.779
Ni1 0.750 0.069 0.586
Ni2 0.250 0.931 0.414

Electronic total energy, eV per atom: -5.876
Spin magnetization, μB/f.u.: 0.00
SG: P2_1/m, No. 11
Crystal system: monoclinic



[7]
First-principles (PBE-GGA) data for a relaxed Th2NiHg crystal, as listed in Alexandria.

a b c (Å): 3.916 3.916 8.563
angles (deg): 89.62 103.48 120.30
Atoms (fractional coordinates):
Hg1 0.000 0.500 0.500
Ni1 0.000 0.000 0.000
Th1 0.467 0.735 0.202
Th2 0.533 0.265 0.798

Electronic total energy, eV per atom: -5.435
Spin magnetization, μB/f.u.: 0.00
SG: C2/m, No. 12
Crystal system: monoclinic
Offset from the most stable computed form, meV/atom: 44



[8]
First-principles (PBE-GGA) data for a relaxed TmThNiHg crystal, as listed in Alexandria.

a b c (Å): 5.120 5.120 5.120
angles (deg): 60.00 60.00 60.00
Atoms (fractional coordinates):
Hg1 0.750 0.750 0.750
Tm1 0.000 0.000 0.000
Th1 0.500 0.500 0.500
Ni1 0.250 0.250 0.250

Electronic total energy, eV per atom: -4.726
Spin magnetization, μB/f.u.: 0.00
SG: F-43m, No. 216
Crystal system: cubic



[9]
First-principles (PBE-GGA) data for a relaxed YThNiHg crystal, as listed in Alexandria.

a b c (Å): 5.155 5.155 5.155
angles (deg): 60.00 60.00 60.00
Atoms (fractional coordinates):
Th1 0.000 0.000 0.000
Y1 0.500 0.500 0.500
Hg1 0.250 0.250 0.250
Ni1 0.750 0.750 0.750

Electronic total energy, eV per atom: -5.215
Spin magnetization, μB/f.u.: 0.00
SG: F-43m, No. 216
Crystal system: cubic



[10]
First-principles (PBE-GGA) data for a relaxed ThZnNiHg crystal, as listed in Alexandria.

a b c (Å): 4.831 4.831 4.831
angles (deg): 60.00 60.00 60.00
Atoms (fractional coordinates):
Hg1 0.000 0.000 0.000
Ni1 0.250 0.250 0.250
Zn1 0.750 0.750 0.750
Th1 0.500 0.500 0.500

Electronic total energy, eV per atom: -3.874
Spin magnetization, μB/f.u.: 0.00
SG: F-43m, No. 216
Crystal system: cubic



[11]
First-principles (PBE-GGA) data for a relaxed TiNiHg3 crystal, as listed in Alexandria.

a b c (Å): 5.273 5.273 5.273
angles (deg): 90.00 90.00 90.00
Atoms (fractional coordinates):
Ni1 0.500 0.500 0.500
Ti1 0.000 0.000 0.000
Hg1 0.000 0.500 0.000
Hg2 0.000 0.000 0.500
Hg3 0.500 0.000 0.000

Electronic total energy, eV per atom: -1.814
Spin magnetization, μB/f.u.: 0.00
SG: Pm-3m, No. 221
Crystal system: cubic
Offset from the most stable computed form, meV/atom: 493



[12]
First-principles (PBE-GGA) data for a relaxed Ti2NiHg crystal, as listed in Alexandria.

a b c (Å): 3.020 3.020 7.185
angles (deg): 90.00 90.00 90.00
Site moments in Bohr magnetons follow the coordinates.
Atoms (fractional coordinates):
Ti1 0.000 0.000 0.212  0.56
Ti2 0.000 0.000 0.788  0.56
Ni1 0.500 0.500 0.000  0.18
Hg1 0.500 0.500 0.500  0.01

Electronic total energy, eV per atom: -5.615
Spin magnetization, μB/f.u.: 1.58
SG: P4/mmm, No. 123
Crystal system: tetragonal
Offset from the most stable computed form, meV/atom: 0